Entry P
Computed, not measured: AlGa2F2 after structural relaxation at the PBE level of DFT.

Output
D(E_F), states/eV per atom: 0.253
Symmetry: No. 139

a b c (Å): 6.7330 6.7330 6.7330
angles (deg): 149.76 149.76 43.30
Last column: nearest neighbours and their distance in Å.
Sites, in units of the cell vectors:
Al  0.0000  0.0000  0.0000  8 Ga 3.00
Ga  0.3659  0.3659  0.0000  4 F 2.28
Ga  0.6341  0.6341  0.0000  4 F 2.28
F  0.2500  0.7500  0.5000  4 Ga 2.28, 4 F 2.48
F  0.7500  0.2500  0.5000  4 Ga 2.28, 4 F 2.48

***

Entry Q
Computed, not measured: AlGa2F2 after structural relaxation at the PBE level of DFT.

Output
D(E_F), states/eV per atom: 0.311
Symmetry: No. 127

a b c (Å): 7.7766 7.7766 3.0760
angles (deg): 90.00 90.00 90.00
Last column: nearest neighbours and their distance in Å.
Sites, in units of the cell vectors:
Al  0.0000  0.0000  0.0000  4 Ga 2.75, 2 Al 3.08
Al  0.5000  0.5000  0.0000  4 Ga 2.75, 2 Al 3.08
Ga  0.2347  0.2653  0.0000  2 F 2.02
Ga  0.2653  0.7653  0.0000  2 F 2.02
Ga  0.7347  0.2347  0.0000  2 F 2.02
Ga  0.7653  0.7347  0.0000  2 F 2.02
F  0.1159  0.3841  0.5000  2 Ga 2.02
F  0.3841  0.8841  0.5000  2 Ga 2.02
F  0.6159  0.1159  0.5000  2 Ga 2.02
F  0.8841  0.6159  0.5000  2 Ga 2.02

***

Ordering by calculated energy gives the sequence entry P, entry Q, with the first entry being the most stable.

***

Entry P
Computed, not measured: AlGa3F after structural relaxation at the PBE level of DFT.

Output
D(E_F), states/eV per atom: 0.580
Symmetry: No. 221

a b c (Å): 4.9953 4.9953 4.9953
angles (deg): 90.00 90.00 90.00
Last column: nearest neighbours and their distance in Å.
Sites, in units of the cell vectors:
Al  0.0000  0.0000  0.0000  6 Ga 2.50
Ga  0.0000  0.0000  0.5000  2 Al 2.50
Ga  0.0000  0.5000  0.0000  2 Al 2.50
Ga  0.5000  0.0000  0.0000  2 Al 2.50
F  0.5000  0.5000  0.5000  12 Ga 3.53

***

Entry Q
Computed, not measured: AlGa3F after structural relaxation at the PBE level of DFT.

Output
D(E_F), states/eV per atom: 0.428
Symmetry: No. 221

a b c (Å): 4.6023 4.6023 4.6023
angles (deg): 90.00 90.00 90.00
Last column: nearest neighbours and their distance in Å.
Sites, in units of the cell vectors:
Al  0.0000  0.0000  0.0000  12 Ga 3.25
Ga  0.0000  0.5000  0.5000  2 F 2.30
Ga  0.5000  0.0000  0.5000  2 F 2.30
Ga  0.5000  0.5000  0.0000  2 F 2.30
F  0.5000  0.5000  0.5000  6 Ga 2.30

***

Ordering by calculated energy gives the sequence entry Q, entry P, with the first entry being the most stable.

***

Entry P
Computed, not measured: Al3GaF after structural relaxation at the PBE level of DFT.

Output
D(E_F), states/eV per atom: 0.619
Symmetry: No. 221

a b c (Å): 4.9281 4.9281 4.9281
angles (deg): 90.00 90.00 90.00
Last column: nearest neighbours and their distance in Å.
Sites, in units of the cell vectors:
Al  0.0000  0.0000  0.5000  2 Ga 2.46
Al  0.0000  0.5000  0.0000  2 Ga 2.46
Al  0.5000  0.0000  0.0000  2 Ga 2.46
Ga  0.0000  0.0000  0.0000  6 Al 2.46
F  0.5000  0.5000  0.5000  12 Al 3.48

***

Entry Q
Computed, not measured: Al3GaF after structural relaxation at the PBE level of DFT.

Output
D(E_F), states/eV per atom: 0.256
Symmetry: No. 221

a b c (Å): 4.4592 4.4592 4.4592
angles (deg): 90.00 90.00 90.00
Last column: nearest neighbours and their distance in Å.
Sites, in units of the cell vectors:
Al  0.0000  0.0000  0.5000  2 F 2.23
Al  0.0000  0.5000  0.0000  2 F 2.23
Al  0.5000  0.0000  0.0000  2 F 2.23
Ga  0.5000  0.5000  0.5000  12 Al 3.15
F  0.0000  0.0000  0.0000  6 Al 2.23

***

Ordering by calculated energy gives the sequence entry Q, entry P, with the first entry being the most stable.

***

Entry P
Computed, not measured: Al2GaF after structural relaxation at the PBE level of DFT.

Output
D(E_F), states/eV per atom: 0.199
Symmetry: No. 225

a b c (Å): 4.4044 4.4044 4.4044
angles (deg): 60.00 60.00 60.00
Last column: nearest neighbours and their distance in Å.
Sites, in units of the cell vectors:
Al  0.2500  0.2500  0.2500  4 F 2.70, 4 Ga 2.70
Al  0.7500  0.7500  0.7500  4 F 2.70, 4 Ga 2.70
Ga  0.0000  0.0000  0.0000  8 Al 2.70
F  0.5000  0.5000  0.5000  8 Al 2.70

***

Entry Q
Computed, not measured: Al2GaF after structural relaxation at the PBE level of DFT.

Output
D(E_F), states/eV per atom: 0.195
Symmetry: No. 122

a b c (Å): 7.2476 7.2476 7.2476
angles (deg): 141.02 141.02 56.31
Last column: nearest neighbours and their distance in Å.
Sites, in units of the cell vectors:
Al  0.0282  0.6250  0.9032  2 F 2.14
Al  0.3750  0.2782  0.4032  2 F 2.14
Al  0.7218  0.1250  0.0968  2 F 2.14
Al  0.8750  0.9718  0.5968  2 F 2.14
Ga  0.2500  0.7500  0.5000  4 Al 2.61
Ga  0.5000  0.5000  0.0000  4 Al 2.61
F  0.0000  0.0000  0.0000  4 Al 2.14
F  0.7500  0.2500  0.5000  4 Al 2.14

***

Ordering by calculated energy gives the sequence entry Q, entry P, with the first entry being the most stable.

***

Entry P
Computed, not measured: AlGe3F after structural relaxation at the PBE level of DFT.

Output
D(E_F), states/eV per atom: 0.739
Symmetry: No. 221

a b c (Å): 4.5794 4.5794 4.5794
angles (deg): 90.00 90.00 90.00
Last column: nearest neighbours and their distance in Å.
Sites, in units of the cell vectors:
Al  0.0000  0.0000  0.0000  12 Ge 3.24
Ge  0.0000  0.5000  0.5000  2 F 2.29
Ge  0.5000  0.0000  0.5000  2 F 2.29
Ge  0.5000  0.5000  0.0000  2 F 2.29
F  0.5000  0.5000  0.5000  6 Ge 2.29

***

Entry Q
Computed, not measured: AlGe3F after structural relaxation at the PBE level of DFT.

Output
D(E_F), states/eV per atom: 0.562
Symmetry: No. 221

a b c (Å): 4.8730 4.8730 4.8730
angles (deg): 90.00 90.00 90.00
Last column: nearest neighbours and their distance in Å.
Sites, in units of the cell vectors:
Al  0.0000  0.0000  0.0000  6 Ge 2.44
Ge  0.0000  0.0000  0.5000  2 Al 2.44
Ge  0.0000  0.5000  0.0000  2 Al 2.44
Ge  0.5000  0.0000  0.0000  2 Al 2.44
F  0.5000  0.5000  0.5000  12 Ge 3.45

***

Ordering by calculated energy gives the sequence entry P, entry Q, with the first entry being the most stable.

***

Entry P
Computed, not measured: Al3GeF after structural relaxation at the PBE level of DFT.

Output
D(E_F), states/eV per atom: 0.465
Symmetry: No. 221

a b c (Å): 4.9903 4.9903 4.9903
angles (deg): 90.00 90.00 90.00
Last column: nearest neighbours and their distance in Å.
Sites, in units of the cell vectors:
Al  0.0000  0.0000  0.5000  2 Ge 2.50
Al  0.0000  0.5000  0.0000  2 Ge 2.50
Al  0.5000  0.0000  0.0000  2 Ge 2.50
Ge  0.0000  0.0000  0.0000  6 Al 2.50
F  0.5000  0.5000  0.5000  12 Al 3.53

***

Entry Q
Computed, not measured: Al3GeF after structural relaxation at the PBE level of DFT.

Output
D(E_F), states/eV per atom: 0.475
Symmetry: No. 221

a b c (Å): 4.4857 4.4857 4.4857
angles (deg): 90.00 90.00 90.00
Last column: nearest neighbours and their distance in Å.
Sites, in units of the cell vectors:
Al  0.0000  0.0000  0.5000  2 F 2.24
Al  0.0000  0.5000  0.0000  2 F 2.24
Al  0.5000  0.0000  0.0000  2 F 2.24
Ge  0.5000  0.5000  0.5000  12 Al 3.17
F  0.0000  0.0000  0.0000  6 Al 2.24

***

Ordering by calculated energy gives the sequence entry Q, entry P, with the first entry being the most stable.

***

Entry P
Computed, not measured: Al2GeF after structural relaxation at the PBE level of DFT.

Output
D(E_F), states/eV per atom: 0.414
Symmetry: No. 122

a b c (Å): 7.1684 7.1684 7.1684
angles (deg): 140.30 140.30 57.40
Last column: nearest neighbours and their distance in Å.
Sites, in units of the cell vectors:
Al  0.0539  0.6250  0.9289  2 F 2.17
Al  0.3750  0.3039  0.4289  2 F 2.17
Al  0.6961  0.1250  0.0711  2 F 2.17
Al  0.8750  0.9461  0.5711  2 F 2.17
Ge  0.2500  0.7500  0.5000  4 Al 2.53
Ge  0.5000  0.5000  0.0000  4 Al 2.53
F  0.0000  0.0000  0.0000  4 Al 2.17
F  0.7500  0.2500  0.5000  4 Al 2.17

***

Entry Q
Computed, not measured: Al2GeF after structural relaxation at the PBE level of DFT.

Output
D(E_F), states/eV per atom: 0.319
Symmetry: No. 225

a b c (Å): 4.4057 4.4057 4.4057
angles (deg): 60.00 60.00 60.00
Last column: nearest neighbours and their distance in Å.
Sites, in units of the cell vectors:
Al  0.2500  0.2500  0.2500  4 Ge 2.70, 4 F 2.70
Al  0.7500  0.7500  0.7500  4 Ge 2.70, 4 F 2.70
Ge  0.0000  0.0000  0.0000  8 Al 2.70
F  0.5000  0.5000  0.5000  8 Al 2.70

***

Ordering by calculated energy gives the sequence entry Q, entry P, with the first entry being the most stable.

***

Entry P
Computed, not measured: AlGeN2F after structural relaxation at the PBE level of DFT.

Output
D(E_F), states/eV per atom: 0.534
Symmetry: No. 123

a b c (Å): 3.8632 3.8632 3.6490
angles (deg): 90.00 90.00 90.00
Last column: nearest neighbours and their distance in Å.
Sites, in units of the cell vectors:
Al  0.0000  0.0000  0.0000  2 F 1.82, 4 N 1.93
Ge  0.5000  0.5000  0.5000  8 N 2.66, 4 F 2.73
N  0.0000  0.5000  0.0000  2 Al 1.93
N  0.5000  0.0000  0.0000  2 Al 1.93
F  0.0000  0.0000  0.5000  2 Al 1.82

***

Entry Q
Computed, not measured: AlGeN2F after structural relaxation at the PBE level of DFT.

Output
D(E_F), states/eV per atom: 0.242
Symmetry: No. 123

a b c (Å): 3.8420 3.8420 3.7189
angles (deg): 90.00 90.00 90.00
Last column: nearest neighbours and their distance in Å.
Sites, in units of the cell vectors:
Al  0.0000  0.0000  0.0000  8 N 2.67, 4 F 2.72
Ge  0.5000  0.5000  0.5000  2 F 1.86, 4 N 1.92
N  0.0000  0.5000  0.5000  2 Ge 1.92
N  0.5000  0.0000  0.5000  2 Ge 1.92
F  0.5000  0.5000  0.0000  2 Ge 1.86

***

Ordering by calculated energy gives the sequence entry P, entry Q, with the first entry being the most stable.

***

Entry P
Computed, not measured: AlH3F after structural relaxation at the PBE level of DFT.

Output
D(E_F), states/eV per atom: 0.388
Symmetry: No. 221

a b c (Å): 3.4851 3.4851 3.4851
angles (deg): 90.00 90.00 90.00
Last column: nearest neighbours and their distance in Å.
Sites, in units of the cell vectors:
Al  0.0000  0.0000  0.0000  12 H 2.46
H  0.0000  0.5000  0.5000  2 F 1.74
H  0.5000  0.0000  0.5000  2 F 1.74
H  0.5000  0.5000  0.0000  2 F 1.74
F  0.5000  0.5000  0.5000  6 H 1.74

***

Entry Q
Computed, not measured: AlH3F after structural relaxation at the PBE level of DFT.

Output
D(E_F), states/eV per atom: 0.315
Symmetry: No. 221

a b c (Å): 3.4524 3.4524 3.4524
angles (deg): 90.00 90.00 90.00
Last column: nearest neighbours and their distance in Å.
Sites, in units of the cell vectors:
Al  0.0000  0.0000  0.0000  6 H 1.73
H  0.0000  0.0000  0.5000  2 Al 1.73
H  0.0000  0.5000  0.0000  2 Al 1.73
H  0.5000  0.0000  0.0000  2 Al 1.73
F  0.5000  0.5000  0.5000  12 H 2.44

***

Ordering by calculated energy gives the sequence entry Q, entry P, with the first entry being the most stable.

***

Entry P
Computed, not measured: AlHF4 after structural relaxation at the PBE level of DFT.

Output
D(E_F), states/eV per atom: 0.000
Symmetry: No. 12

a b c (Å): 6.2569 6.2569 5.8784
angles (deg): 100.47 100.47 33.56
Last column: nearest neighbours and their distance in Å.
Sites, in units of the cell vectors:
Al  0.1160  0.1160  0.1763  4 F 1.68-1.87
Al  0.8840  0.8840  0.8237  4 F 1.68-1.87
H  0.1022  0.1022  0.6581  1 F 1.02
H  0.8978  0.8978  0.3419  1 F 1.02
F  0.0544  0.0544  0.8524  1 H 1.37
F  0.1225  0.1225  0.4975  1 H 1.02
F  0.2575  0.2575  0.1890  1 Al 1.68
F  0.4022  0.4022  0.8173  2 Al 1.82
F  0.5978  0.5978  0.1827  2 Al 1.82
F  0.7425  0.7425  0.8110  1 Al 1.68
F  0.8775  0.8775  0.5025  1 H 1.02
F  0.9456  0.9456  0.1476  1 H 1.37

***

Entry Q
Computed, not measured: AlHF4 after structural relaxation at the PBE level of DFT.

Output
D(E_F), states/eV per atom: 0.000
Symmetry: No. 15

a b c (Å): 6.6640 6.6640 4.9363
angles (deg): 96.01 96.01 137.80
Last column: nearest neighbours and their distance in Å.
Sites, in units of the cell vectors:
Al  0.0608  0.9392  0.7500  6 F 1.81-1.87
Al  0.9392  0.0608  0.2500  6 F 1.81-1.87
H  0.3394  0.6606  0.2500  2 F 1.15
H  0.6606  0.3394  0.7500  2 F 1.15
F  0.0884  0.4136  0.2045  1 H 1.15
F  0.1592  0.2520  0.6254  2 Al 1.84-1.87
F  0.2520  0.1592  0.1254  2 Al 1.84-1.87
F  0.4136  0.0884  0.7045  1 H 1.15
F  0.5864  0.9116  0.2955  1 H 1.15
F  0.7480  0.8408  0.8746  2 Al 1.84-1.87
F  0.8408  0.7480  0.3746  2 Al 1.84-1.87
F  0.9116  0.5864  0.7955  1 H 1.15

***

Ordering by calculated energy gives the sequence entry Q, entry P, with the first entry being the most stable.

***

Entry P
Computed, not measured: AlHF2 after structural relaxation at the PBE level of DFT.

Output
D(E_F), states/eV per atom: 0.000
Symmetry: No. 122

a b c (Å): 5.7852 5.7852 5.7852
angles (deg): 126.40 126.40 79.22
Last column: nearest neighbours and their distance in Å.
Sites, in units of the cell vectors:
Al  0.0000  0.0000  0.0000  4 F 1.72
Al  0.7500  0.2500  0.5000  4 F 1.72
H  0.2500  0.7500  0.5000  8 F 3.09-3.15, 4 Al 3.43, 4 H 3.43
H  0.5000  0.5000  0.0000  8 F 3.09-3.15, 4 Al 3.43, 4 H 3.43
F  0.3750  0.1319  0.2569  2 Al 1.72
F  0.8681  0.1250  0.2431  2 Al 1.72
F  0.8750  0.1181  0.7431  2 Al 1.72
F  0.8819  0.6250  0.7569  2 Al 1.72

***

Entry Q
Computed, not measured: AlHF2 after structural relaxation at the PBE level of DFT.

Output
D(E_F), states/eV per atom: 0.000
Symmetry: No. 225

a b c (Å): 3.5633 3.5633 3.5633
angles (deg): 60.00 60.00 60.00
Last column: nearest neighbours and their distance in Å.
Sites, in units of the cell vectors:
Al  0.0000  0.0000  0.0000  8 F 2.18
H  0.5000  0.5000  0.5000  8 F 2.18
F  0.2500  0.2500  0.2500  4 H 2.18, 4 Al 2.18
F  0.7500  0.7500  0.7500  4 H 2.18, 4 Al 2.18

***

Ordering by calculated energy gives the sequence entry P, entry Q, with the first entry being the most stable.

***

Entry P
Computed, not measured: AlHF2 after structural relaxation at the PBE level of DFT.

Output
D(E_F), states/eV per atom: 0.000
Symmetry: No. 71

a b c (Å): 5.2832 5.2832 5.2832
angles (deg): 148.95 142.80 49.21
Last column: nearest neighbours and their distance in Å.
Sites, in units of the cell vectors:
Al  0.0000  0.0000  0.0000  2 H 1.68, 4 F 1.85
H  0.5000  0.0000  0.5000  2 Al 1.68
F  0.1243  0.6243  0.5000  2 Al 1.85
F  0.8757  0.3757  0.5000  2 Al 1.85

***

Entry Q
Computed, not measured: AlHF2 after structural relaxation at the PBE level of DFT.

Output
D(E_F), states/eV per atom: 0.000
Symmetry: No. 166

a b c (Å): 5.8896 5.8896 5.8896
angles (deg): 26.50 26.50 26.50
Last column: nearest neighbours and their distance in Å.
Sites, in units of the cell vectors:
Al  0.0000  0.0000  0.0000  2 F 1.88
H  0.5000  0.5000  0.5000  6 F 1.83
F  0.1105  0.1105  0.1105  3 H 1.83, 1 Al 1.88
F  0.8895  0.8895  0.8895  3 H 1.83, 1 Al 1.88

***

Entry R
Computed, not measured: AlHF2 after structural relaxation at the PBE level of DFT.

Output
D(E_F), states/eV per atom: 0.040
Symmetry: No. 166

a b c (Å): 6.2652 6.2652 6.2652
angles (deg): 25.96 25.96 25.96
Last column: nearest neighbours and their distance in Å.
Sites, in units of the cell vectors:
Al  0.0000  0.0000  0.0000  6 F 2.48
H  0.5000  0.5000  0.5000  2 F 1.15
F  0.4367  0.4367  0.4367  1 H 1.15
F  0.5633  0.5633  0.5633  1 H 1.15

***

Ordering by calculated energy gives the sequence entry P, entry R, entry Q, with the first entry being the most stable.